1.
The following is a GGA-PBE calculation of CeHIr after structural relaxation, from Alexandria via LeMat-Bulk.

a = 3.7732 Å, b = 4.7734 Å, c = 5.4855 Å
α = 90.00°, β = 90.00°, γ = 90.00°
Space group Immm (No. 71)
Inequivalent atoms, fractional coordinates:
Ce: 0.0000 0.0000 0.0000
H: 0.0000 0.5000 0.0000
Ir: 0.0000 0.0000 0.5000

Calculated values
- calculated volume (A^3/atom) = 16.47
- ΔE to the lowest computed polymorph (eV/atom) = 0.000
- N(E_F) (states/eV/cell) = 6.0
- raw total energy (eV per atom) = -6.57
- total magnetization (μB/f.u.) = 0.23

---

2.
The following is a GGA-PBE calculation of CeH4Ir after structural relaxation, from Alexandria via LeMat-Bulk.

a = 7.8768 Å, b = 4.5349 Å, c = 7.3006 Å
α = 90.00°, β = 107.16°, γ = 90.00°
Space group C2/c (No. 15)
Inequivalent atoms, fractional coordinates:
Ce: 0.0000 0.2128 0.2500
H: 0.0288 0.2974 0.9142
H: 0.2043 0.0662 0.5980
Ir: 0.2500 0.2500 0.0000

Calculated values
- calculated volume (A^3/atom) = 10.38
- ΔE to the lowest computed polymorph (eV/atom) = 0.000
- N(E_F) (states/eV/cell) = 23.0
- raw total energy (eV per atom) = -5.18
- total magnetization (μB/f.u.) = 0.97

---

3.
The following is a GGA-PBE calculation of Ce2HIr after structural relaxation, from Alexandria via LeMat-Bulk.

a = 3.2520 Å, b = 3.2520 Å, c = 6.6332 Å
α = 90.00°, β = 90.00°, γ = 90.00°
Space group P4/mmm (No. 123)
Inequivalent atoms, fractional coordinates:
Ce: 0.0000 0.0000 0.2141
H: 0.5000 0.5000 0.0000
Ir: 0.5000 0.5000 0.5000

Calculated values
- calculated volume (A^3/atom) = 17.54
- ΔE to the lowest computed polymorph (eV/atom) = 0.107
- N(E_F) (states/eV/cell) = 7.4
- raw total energy (eV per atom) = -6.42
- total magnetization (μB/f.u.) = 0.01

---

4.
The following is a GGA-PBE calculation of LiCe2H6Ir after structural relaxation, from Alexandria via LeMat-Bulk.

a = 5.1280 Å, b = 5.1280 Å, c = 4.9559 Å
α = 90.00°, β = 90.00°, γ = 120.00°
Space group P-3m1 (No. 164)
Inequivalent atoms, fractional coordinates:
Li: 0.0000 0.0000 0.0000
Ce: 0.3333 0.6667 0.2596
H: 0.1608 0.3216 0.7185
Ir: 0.0000 0.0000 0.5000

Calculated values
- calculated volume (A^3/atom) = 11.29
- N(E_F) (states/eV/cell) = 14.3
- raw total energy (eV per atom) = -4.60
- total magnetization (μB/f.u.) = 2.98